Material: Ac2NpB2N6
Method: DFT, PBE
State: optimized geometry Values from VASP.

Summary:
Total DFT energy (no corrections) in eV/atom: -8.838
Raw formation energy in meV per atom: -1159

The structure in Quantum ESPRESSO input format:
```
&SYSTEM
  ibrav = 0, nat = 11, ntyp = 4
/
ATOMIC_SPECIES
Ac 227.00 Ac.upf
Np 237.00 Np.upf
B 10.81 B.upf
N 14.01 N.upf
CELL_PARAMETERS angstrom
-2.2591 -4.9099 -1.0096
3.2114 -4.3647 -0.9308
0.3523 -4.2313 4.8181
ATOMIC_POSITIONS angstrom
Ac 0.9757 -10.0377 1.7184
Ac 0.3290 -3.4682 1.1593
Np 0.0000 0.0000 0.0000
B 0.6613 -7.0457 2.8425
B 0.6434 -6.4602 0.0352
N 0.7903 -7.8882 -0.2873
N 1.8373 -5.6128 0.1806
N -0.6980 -5.8655 0.1440
N 2.0026 -7.6405 2.7337
N -0.5327 -7.8932 2.6971
N 0.5143 -5.6178 3.1650
```


Material: Ac3NpB2N6
Method: DFT, PBE
State: optimized geometry Values from VASP.

Summary:
Total DFT energy (no corrections) in eV/atom: -8.438
Raw formation energy in meV per atom: -1057

The structure in Quantum ESPRESSO input format:
```
&SYSTEM
  ibrav = 0, nat = 12, ntyp = 4
/
ATOMIC_SPECIES
Ac 227.00 Ac.upf
Np 237.00 Np.upf
B 10.81 B.upf
N 14.01 N.upf
CELL_PARAMETERS angstrom
-0.5097 5.6634 0.1946
-0.5570 -3.0716 4.7568
6.8020 0.5721 1.1659
ATOMIC_POSITIONS angstrom
Ac 4.0664 0.2276 4.0259
Ac 1.6689 2.9363 2.0915
Ac 0.0000 0.0000 0.0000
Np 3.4010 0.2861 0.5830
B 4.4384 3.1693 2.5662
B 1.2969 -0.0053 3.5512
N 1.2514 1.2432 4.3521
N 1.7292 0.0823 2.1342
N 1.4797 -1.2936 4.2649
N 4.0061 3.0817 3.9832
N 4.4839 1.9207 1.7653
N 4.2556 4.4575 1.8525
```


Material: AcBNO
Method: DFT, PBE
State: optimized geometry Values from VASP.

Summary:
Total DFT energy (no corrections) in eV/atom: -7.554
Raw formation energy in meV per atom: -1537

The structure in Quantum ESPRESSO input format:
```
&SYSTEM
  ibrav = 0, nat = 4, ntyp = 4
/
ATOMIC_SPECIES
Ac 227.00 Ac.upf
B 10.81 B.upf
N 14.01 N.upf
O 16.00 O.upf
CELL_PARAMETERS angstrom
-3.0204 -1.2280 -2.0134
2.2779 -2.0289 -2.1798
-1.6529 -2.9783 4.2960
ATOMIC_POSITIONS angstrom
Ac -1.3320 -2.8946 0.1169
B 1.5296 -1.6248 -1.3036
N 1.3951 -2.6619 -0.4694
O 0.0030 -3.5919 2.1861
```


Material: AcB2N2O
Method: DFT, PBE
State: optimized geometry Values from VASP.

Summary:
Total DFT energy (no corrections) in eV/atom: -7.879
Raw formation energy in meV per atom: -1367

The structure in Quantum ESPRESSO input format:
```
&SYSTEM
  ibrav = 0, nat = 12, ntyp = 4
/
ATOMIC_SPECIES
Ac 227.00 Ac.upf
B 10.81 B.upf
N 14.01 N.upf
O 16.00 O.upf
CELL_PARAMETERS angstrom
4.6274 0.0000 0.0000
0.0000 5.9417 0.2322
0.0000 -1.9725 4.9694
ATOMIC_POSITIONS angstrom
Ac 3.4705 0.4352 3.4447
Ac 1.1568 3.5339 1.7569
B 2.1537 0.7038 0.6908
B 0.1599 0.7038 0.6908
B 4.4674 3.2653 4.5108
B 2.4736 3.2653 4.5108
N 1.1568 0.1861 1.7150
N 1.1568 2.7142 4.2349
N 3.4705 3.7830 3.4866
N 3.4705 1.2549 0.9667
O 1.1568 -0.3281 4.8970
O 3.4705 4.2972 0.3045
```


- Look up the raw formation energy of the fourth one.
  -1367 meV per atom


- The highest total DFT energy (no corrections) belongs to which entry?
  AcBNO